A plane-wave DFT calculation with PBE was carried out for ScTlZnTe3 after structural relaxation.

Calculated values
Space group: Pnma (62)

```
24
Lattice="12.7247 0.0000 0.0000 0.0000 4.3137 0.0000 0.0000 0.0000 13.2065" Properties=species:S:1:pos:R:3 pbc="T T T"
Sc 0.4547 1.0784 2.2292
Sc 5.9076 3.2353 8.8325
Sc 6.8170 1.0784 4.3740
Sc 12.2700 3.2353 10.9773
Tl 2.1472 1.0784 6.4826
Tl 4.2151 3.2353 13.0858
Tl 8.5096 1.0784 0.1207
Tl 10.5774 3.2353 6.7240
Zn 3.1280 3.2353 3.9450
Zn 3.2343 1.0784 10.5483
Zn 9.4903 3.2353 2.6583
Zn 9.5967 1.0784 9.2616
Te 0.4620 3.2353 4.3333
Te 1.1880 1.0784 12.2999
Te 2.9962 3.2353 8.9696
Te 3.3662 1.0784 2.3663
Te 5.1743 3.2353 5.6966
Te 5.9003 1.0784 10.9365
Te 6.8244 3.2353 2.2700
Te 7.5503 1.0784 7.5099
Te 9.3585 3.2353 10.8402
Te 9.7285 1.0784 4.2369
Te 11.5366 3.2353 0.9067
Te 12.2626 1.0784 8.8733
```

A plane-wave DFT calculation with PBE was carried out for ScTlZnTe3 after structural relaxation.

Calculated values
Space group: Pnma (62)

```
24
Lattice="10.5262 0.0000 0.0000 0.0000 4.3182 0.0000 0.0000 0.0000 16.2025" Properties=species:S:1:pos:R:3 pbc="T T T"
Sc 1.8486 1.0796 0.7538
Sc 3.4145 3.2387 8.8551
Sc 7.1117 1.0796 7.3475
Sc 8.6776 3.2387 15.4487
Tl 0.4929 3.2387 5.0547
Tl 4.7702 1.0796 13.1560
Tl 5.7560 3.2387 3.0465
Tl 10.0333 1.0796 11.1478
Zn 1.7798 3.2387 13.9285
Zn 3.4833 1.0796 5.8273
Zn 7.0429 3.2387 10.3753
Zn 8.7464 1.0796 2.2740
Te 0.0946 1.0796 14.5127
Te 1.7515 1.0796 7.7861
Te 2.0889 3.2387 11.3537
Te 3.1742 1.0796 3.2524
Te 3.5116 3.2387 15.8874
Te 5.1685 3.2387 6.4114
Te 5.3577 1.0796 9.7912
Te 7.0146 1.0796 0.3152
Te 7.3520 3.2387 12.9502
Te 8.4373 1.0796 4.8489
Te 8.7746 3.2387 8.4164
Te 10.4316 3.2387 1.6899
```

A plane-wave DFT calculation with PBE was carried out for ScTlZnTe3 after structural relaxation.

Calculated values
Space group: Pnma (62)

```
24
Lattice="11.1867 0.0000 0.0000 0.0000 4.2340 0.0000 0.0000 0.0000 15.4818" Properties=species:S:1:pos:R:3 pbc="T T T"
Sc 0.1423 1.0585 3.8428
Sc 5.4510 3.1755 11.5837
Sc 5.7357 1.0585 3.8981
Sc 11.0444 3.1755 11.6390
Tl 2.6374 3.1755 7.8644
Tl 2.9560 1.0585 0.1235
Tl 8.2307 3.1755 15.3583
Tl 8.5493 1.0585 7.6174
Zn 2.7077 1.0585 11.0526
Zn 2.8856 3.1755 3.3117
Zn 8.3011 1.0585 12.1701
Zn 8.4790 3.1755 4.4292
Te 0.4589 1.0585 9.6444
Te 0.6906 3.1755 1.8401
Te 2.6727 3.1755 12.7262
Te 2.9207 1.0585 4.9853
Te 4.9027 1.0585 9.5810
Te 5.1344 3.1755 1.9035
Te 6.0523 1.0585 13.5783
Te 6.2840 3.1755 5.9008
Te 8.2660 3.1755 10.4965
Te 8.5140 1.0585 2.7556
Te 10.4961 1.0585 13.6417
Te 10.7278 3.1755 5.8374
```

A plane-wave DFT calculation with PBE was carried out for ScTlZnTe3 after structural relaxation.

Calculated values
Space group: P2_1/m (11)

```
12
Lattice="8.6958 0.0000 0.0000 0.0000 4.2423 0.0000 -3.7622 0.0000 10.2817" Properties=species:S:1:pos:R:3 pbc="T T T"
Sc 1.0704 1.0606 1.4582
Sc 3.8632 3.1817 8.8235
Tl -0.6027 3.1817 7.3211
Tl 5.5362 1.0606 2.9605
Zn 2.2024 3.1817 3.9922
Zn 2.7312 1.0606 6.2895
Te -2.7824 1.0606 8.8516
Te 0.6003 1.0606 4.5182
Te 3.1378 3.1817 1.5253
Te 1.7958 1.0606 8.7564
Te 4.3332 3.1817 5.7635
Te 7.7159 3.1817 1.4301
```

Let's list E_tot in order: -3.889 -3.895 -3.982 -3.967 eV/atom.